# Ti2BeBi

An optimized crystal structure of Ti2BeBi (GGA-PBE, Alexandria via LeMat-Bulk).

Summary:
The calculation puts the formation energy at 29.3 kJ/mol of atoms. The value obtained for the calculated volume is 70.5 Å³/f.u. The calculated density comes out at 7.39 g/cm³. The calculation puts the energy relative to the lowest polymorph listed for this composition at 0.018 eV/atom. The space-group type is No. 225.

```
data_Ti2BeBi
_chemical_formula_sum 'Ti2 Be1 Bi1'
_symmetry_space_group_name_H-M 'P 1'
_symmetry_Int_Tables_number 1
_cell_length_a 4.636
_cell_length_b 4.636
_cell_length_c 4.636
_cell_angle_alpha 60.00
_cell_angle_beta 60.00
_cell_angle_gamma 60.00
loop_
_symmetry_equiv_pos_as_xyz
'x,y,z'
loop_
_atom_site_label
_atom_site_type_symbol
_atom_site_fract_x
_atom_site_fract_y
_atom_site_fract_z
Ti1 Ti 0.250 0.250 0.250
Ti2 Ti 0.750 0.750 0.750
Be1 Be 0.000 0.000 0.000
Bi1 Bi 0.500 0.500 0.500
```

=====

# RbMgIn4Hg2

An optimized crystal structure of RbMgIn4Hg2 (GGA-PBE, Alexandria via LeMat-Bulk).

Summary:
The calculation puts the formation energy at -8.4 kJ/mol of atoms. The value obtained for the calculated volume is 241.4 Å³/f.u. The calculated density comes out at 6.68 g/cm³. The space-group type is No. 123.

```
data_RbMgIn4Hg2
_chemical_formula_sum 'Rb1 Mg1 In4 Hg2'
_symmetry_space_group_name_H-M 'P 1'
_symmetry_Int_Tables_number 1
_cell_length_a 5.008
_cell_length_b 5.008
_cell_length_c 9.624
_cell_angle_alpha 90.00
_cell_angle_beta 90.00
_cell_angle_gamma 90.00
loop_
_symmetry_equiv_pos_as_xyz
'x,y,z'
loop_
_atom_site_label
_atom_site_type_symbol
_atom_site_fract_x
_atom_site_fract_y
_atom_site_fract_z
Rb1 Rb 0.000 0.000 0.000
Mg1 Mg 0.000 0.000 0.500
In1 In 0.000 0.500 0.329
In2 In 0.000 0.500 0.671
In3 In 0.500 0.000 0.329
In4 In 0.500 0.000 0.671
Hg1 Hg 0.500 0.500 0.152
Hg2 Hg 0.500 0.500 0.848
```

=====

# Sc6BiTe3P2

An optimized crystal structure of Sc6BiTe3P2 (GGA-PBE, Alexandria via LeMat-Bulk).

Summary:
The value obtained for the calculated volume is 281.8 Å³/f.u. The value obtained for the raw formation energy is -1409 kJ/mol of formula units. The calculated density comes out at 5.44 g/cm³. The space-group type is No. 12.

```
data_Sc6BiTe3P2
_chemical_formula_sum 'Sc6 Bi1 Te3 P2'
_symmetry_space_group_name_H-M 'P 1'
_symmetry_Int_Tables_number 1
_cell_length_a 9.104
_cell_length_b 9.104
_cell_length_c 8.196
_cell_angle_alpha 103.65
_cell_angle_beta 103.65
_cell_angle_gamma 25.31
loop_
_symmetry_equiv_pos_as_xyz
'x,y,z'
loop_
_atom_site_label
_atom_site_type_symbol
_atom_site_fract_x
_atom_site_fract_y
_atom_site_fract_z
Sc1 Sc 0.021 0.021 0.263
Sc2 Sc 0.321 0.321 0.437
Sc3 Sc 0.326 0.326 0.869
Sc4 Sc 0.674 0.674 0.131
Sc5 Sc 0.679 0.679 0.563
Sc6 Sc 0.979 0.979 0.737
Bi1 Bi 0.500 0.500 0.000
Te1 Te 0.160 0.160 0.836
Te2 Te 0.500 0.500 0.500
Te3 Te 0.840 0.840 0.164
P1 P 0.171 0.171 0.342
P2 P 0.829 0.829 0.658
```

=====

# Er5Sc2

An optimized crystal structure of Er5Sc2 (GGA-PBE, Alexandria via LeMat-Bulk).

Summary:
The calculation puts the formation energy at 1.1 kJ/mol of atoms. The value obtained for the calculated volume is 202.9 Å³/f.u. The calculated density comes out at 7.58 g/cm³. The space-group type is No. 15.

```
data_Er5Sc2
_chemical_formula_sum 'Er10 Sc4'
_symmetry_space_group_name_H-M 'P 1'
_symmetry_Int_Tables_number 1
_cell_length_a 8.157
_cell_length_b 8.157
_cell_length_c 8.886
_cell_angle_alpha 95.74
_cell_angle_beta 95.74
_cell_angle_gamma 43.65
loop_
_symmetry_equiv_pos_as_xyz
'x,y,z'
loop_
_atom_site_label
_atom_site_type_symbol
_atom_site_fract_x
_atom_site_fract_y
_atom_site_fract_z
Er1 Er 0.032 0.691 0.038
Er2 Er 0.120 0.448 0.678
Er3 Er 0.172 0.828 0.750
Er4 Er 0.309 0.968 0.462
Er5 Er 0.448 0.120 0.178
Er6 Er 0.552 0.880 0.822
Er7 Er 0.691 0.032 0.538
Er8 Er 0.828 0.172 0.250
Er9 Er 0.880 0.552 0.322
Er10 Er 0.968 0.309 0.962
Sc1 Sc 0.266 0.594 0.393
Sc2 Sc 0.406 0.734 0.107
Sc3 Sc 0.594 0.266 0.893
Sc4 Sc 0.734 0.406 0.607
```

=====

# PrSb3Au3

An optimized crystal structure of PrSb3Au3 (GGA-PBE, Alexandria via LeMat-Bulk).

Summary:
The value obtained for the calculated volume is 214.0 Å³/f.u. The value obtained for the raw formation energy is -7 kJ/mol of formula units. The calculated density comes out at 8.51 g/cm³. The space-group type is No. 223.

```
data_PrSb3Au3
_chemical_formula_sum 'Pr2 Sb6 Au6'
_symmetry_space_group_name_H-M 'P 1'
_symmetry_Int_Tables_number 1
_cell_length_a 7.537
_cell_length_b 7.537
_cell_length_c 7.537
_cell_angle_alpha 90.00
_cell_angle_beta 90.00
_cell_angle_gamma 90.00
loop_
_symmetry_equiv_pos_as_xyz
'x,y,z'
loop_
_atom_site_label
_atom_site_type_symbol
_atom_site_fract_x
_atom_site_fract_y
_atom_site_fract_z
Pr1 Pr 0.000 0.000 0.000
Pr2 Pr 0.500 0.500 0.500
Sb1 Sb 0.000 0.250 0.500
Sb2 Sb 0.000 0.750 0.500
Sb3 Sb 0.250 0.500 0.000
Sb4 Sb 0.500 0.000 0.250
Sb5 Sb 0.500 0.000 0.750
Sb6 Sb 0.750 0.500 0.000
Au1 Au 0.000 0.500 0.250
Au2 Au 0.000 0.500 0.750
Au3 Au 0.250 0.000 0.500
Au4 Au 0.500 0.250 0.000
Au5 Au 0.500 0.750 0.000
Au6 Au 0.750 0.000 0.500
```

=====

# P2PtPb

An optimized crystal structure of P2PtPb (GGA-PBE, Alexandria via LeMat-Bulk).

Summary:
The calculation puts the formation energy at -9.2 kJ/mol of atoms. The value obtained for the calculated volume is 84.9 Å³/f.u. The calculated density comes out at 9.08 g/cm³. The space-group type is No. 8.

```
data_P2PtPb
_chemical_formula_sum 'P2 Pt1 Pb1'
_symmetry_space_group_name_H-M 'P 1'
_symmetry_Int_Tables_number 1
_cell_length_a 4.246
_cell_length_b 4.246
_cell_length_c 5.851
_cell_angle_alpha 102.23
_cell_angle_beta 102.23
_cell_angle_gamma 55.98
loop_
_symmetry_equiv_pos_as_xyz
'x,y,z'
loop_
_atom_site_label
_atom_site_type_symbol
_atom_site_fract_x
_atom_site_fract_y
_atom_site_fract_z
P1 P 0.000 0.000 0.000
P2 P 0.115 0.115 0.685
Pt1 Pt 0.677 0.677 0.956
Pb1 Pb 0.370 0.370 0.376
```

=====

# LiZr2Ta

An optimized crystal structure of LiZr2Ta (GGA-PBE, Alexandria via LeMat-Bulk).

Summary:
The calculation puts the formation energy at 16.9 kJ/mol of atoms. The value obtained for the calculated volume is 84.2 Å³/f.u. The calculated density comes out at 7.30 g/cm³. The calculation puts the energy relative to the lowest polymorph listed for this composition at 0.031 eV/atom. The space-group type is No. 123.

```
data_LiZr2Ta
_chemical_formula_sum 'Li1 Zr2 Ta1'
_symmetry_space_group_name_H-M 'P 1'
_symmetry_Int_Tables_number 1
_cell_length_a 3.271
_cell_length_b 3.271
_cell_length_c 7.876
_cell_angle_alpha 90.00
_cell_angle_beta 90.00
_cell_angle_gamma 90.00
loop_
_symmetry_equiv_pos_as_xyz
'x,y,z'
loop_
_atom_site_label
_atom_site_type_symbol
_atom_site_fract_x
_atom_site_fract_y
_atom_site_fract_z
Li1 Li 0.000 0.000 0.000
Zr1 Zr 0.500 0.500 0.268
Zr2 Zr 0.500 0.500 0.732
Ta1 Ta 0.000 0.000 0.500
```

=====

# Y3CoAg

An optimized crystal structure of Y3CoAg (GGA-PBE, Alexandria via LeMat-Bulk).

Summary:
The calculation puts the formation energy at -18.9 kJ/mol of atoms. The value obtained for the calculated volume is 123.3 Å³/f.u. The calculated density comes out at 5.84 g/cm³. The calculation puts the energy relative to the lowest polymorph listed for this composition at 0.000 eV/atom. The space-group type is No. 2.

```
data_Y3CoAg
_chemical_formula_sum 'Y6 Co2 Ag2'
_symmetry_space_group_name_H-M 'P 1'
_symmetry_Int_Tables_number 1
_cell_length_a 5.561
_cell_length_b 6.463
_cell_length_c 8.153
_cell_angle_alpha 68.79
_cell_angle_beta 76.79
_cell_angle_gamma 65.03
loop_
_symmetry_equiv_pos_as_xyz
'x,y,z'
loop_
_atom_site_label
_atom_site_type_symbol
_atom_site_fract_x
_atom_site_fract_y
_atom_site_fract_z
Y1 Y 0.030 0.163 0.125
Y2 Y 0.366 0.464 0.228
Y3 Y 0.369 0.191 0.683
Y4 Y 0.631 0.809 0.317
Y5 Y 0.634 0.536 0.772
Y6 Y 0.970 0.837 0.875
Co1 Co 0.445 0.837 0.981
Co2 Co 0.555 0.163 0.019
Ag1 Ag 0.094 0.749 0.514
Ag2 Ag 0.906 0.251 0.486
```

=====

# Pm5AlCd4

An optimized crystal structure of Pm5AlCd4 (GGA-PBE, Alexandria via LeMat-Bulk).

Summary:
The calculation puts the formation energy at -31.6 kJ/mol of atoms. The value obtained for the calculated volume is 275.7 Å³/f.u. The calculated density comes out at 7.24 g/cm³. The space-group type is No. 123.

```
data_Pm5AlCd4
_chemical_formula_sum 'Pm5 Al1 Cd4'
_symmetry_space_group_name_H-M 'P 1'
_symmetry_Int_Tables_number 1
_cell_length_a 3.772
_cell_length_b 3.772
_cell_length_c 19.370
_cell_angle_alpha 90.00
_cell_angle_beta 90.00
_cell_angle_gamma 90.00
loop_
_symmetry_equiv_pos_as_xyz
'x,y,z'
loop_
_atom_site_label
_atom_site_type_symbol
_atom_site_fract_x
_atom_site_fract_y
_atom_site_fract_z
Pm1 Pm 0.000 0.000 0.000
Pm2 Pm 0.000 0.000 0.203
Pm3 Pm 0.000 0.000 0.407
Pm4 Pm 0.000 0.000 0.593
Pm5 Pm 0.000 0.000 0.797
Al1 Al 0.500 0.500 0.500
Cd1 Cd 0.500 0.500 0.101
Cd2 Cd 0.500 0.500 0.305
Cd3 Cd 0.500 0.500 0.695
Cd4 Cd 0.500 0.500 0.899
```

=====

# Ca2SeS2

An optimized crystal structure of Ca2SeS2 (GGA-PBE, Alexandria via LeMat-Bulk).

Summary:
The value obtained for the calculated volume is 112.3 Å³/f.u. The value obtained for the raw formation energy is -641 kJ/mol of formula units. The calculated density comes out at 3.30 g/cm³. The calculation puts the energy relative to the lowest polymorph listed for this composition at 0.174 eV/atom. The space-group type is No. 127.

```
data_Ca2SeS2
_chemical_formula_sum 'Ca4 Se2 S4'
_symmetry_space_group_name_H-M 'P 1'
_symmetry_Int_Tables_number 1
_cell_length_a 7.725
_cell_length_b 7.725
_cell_length_c 3.764
_cell_angle_alpha 90.00
_cell_angle_beta 90.00
_cell_angle_gamma 90.00
loop_
_symmetry_equiv_pos_as_xyz
'x,y,z'
loop_
_atom_site_label
_atom_site_type_symbol
_atom_site_fract_x
_atom_site_fract_y
_atom_site_fract_z
Ca1 Ca 0.163 0.337 0.000
Ca2 Ca 0.337 0.837 0.000
Ca3 Ca 0.663 0.163 0.000
Ca4 Ca 0.837 0.663 0.000
Se1 Se 0.000 0.000 0.500
Se2 Se 0.500 0.500 0.500
S1 S 0.151 0.651 0.500
S2 S 0.349 0.151 0.500
S3 S 0.651 0.849 0.500
S4 S 0.849 0.349 0.500
```

=====

# InTc2As

An optimized crystal structure of InTc2As (GGA-PBE, Alexandria via LeMat-Bulk).

Summary:
The calculation puts the formation energy at 18.6 kJ/mol of atoms. The value obtained for the calculated volume is 65.9 Å³/f.u. The calculated density comes out at 9.72 g/cm³. The calculation puts the energy relative to the lowest polymorph listed for this composition at 0.160 eV/atom. The space-group type is No. 166.

```
data_InTc2As
_chemical_formula_sum 'In1 Tc2 As1'
_symmetry_space_group_name_H-M 'P 1'
_symmetry_Int_Tables_number 1
_cell_length_a 8.528
_cell_length_b 8.528
_cell_length_c 8.528
_cell_angle_alpha 20.40
_cell_angle_beta 20.40
_cell_angle_gamma 20.40
loop_
_symmetry_equiv_pos_as_xyz
'x,y,z'
loop_
_atom_site_label
_atom_site_type_symbol
_atom_site_fract_x
_atom_site_fract_y
_atom_site_fract_z
In1 In 0.000 0.000 0.000
Tc1 Tc 0.241 0.241 0.241
Tc2 Tc 0.759 0.759 0.759
As1 As 0.500 0.500 0.500
```

=====

# PmMgF6

An optimized crystal structure of PmMgF6 (GGA-PBE, Alexandria via LeMat-Bulk).

Summary:
The value obtained for the calculated volume is 102.5 Å³/f.u. The value obtained for the raw formation energy is -2495 kJ/mol of formula units. The calculated density comes out at 4.59 g/cm³. The calculation puts the energy relative to the lowest polymorph listed for this composition at 0.000 eV/atom. The space-group type is No. 12.

```
data_PmMgF6
_chemical_formula_sum 'Pm1 Mg1 F6'
_symmetry_space_group_name_H-M 'P 1'
_symmetry_Int_Tables_number 1
_cell_length_a 4.465
_cell_length_b 4.465
_cell_length_c 5.309
_cell_angle_alpha 94.71
_cell_angle_beta 94.71
_cell_angle_gamma 102.30
loop_
_symmetry_equiv_pos_as_xyz
'x,y,z'
loop_
_atom_site_label
_atom_site_type_symbol
_atom_site_fract_x
_atom_site_fract_y
_atom_site_fract_z
Pm1 Pm 0.000 0.000 0.000
Mg1 Mg 0.500 0.500 0.500
F1 F 0.169 0.516 0.217
F2 F 0.205 0.205 0.657
F3 F 0.484 0.831 0.783
F4 F 0.516 0.169 0.217
F5 F 0.795 0.795 0.343
F6 F 0.831 0.484 0.783
```